[1]
DFT (PBE) results for an optimized crystal structure of GaSb2TeIr.

a b c (Å): 5.060 5.060 5.918
angles (deg): 90.00 90.00 90.00
Element x y z (fractional)
Ga (0.000, 0.000, 0.000)
Sb (0.000, 0.500, 0.500)
Sb (0.500, 0.000, 0.500)
Te (0.500, 0.500, 0.000)
Ir (0.500, 0.500, 0.500)

crystal system: tetragonal
density of states at the Fermi level: 0.88 states/eV per atom
E above lowest polymorph: 0 meV per atom
SG: No. 123
uncorrected formation energy: 0.4334 eV per atom

[2]
DFT (PBE) results for an optimized crystal structure of K2SnSb3Pd4.

a b c (Å): 4.717 4.717 10.917
angles (deg): 90.00 90.00 90.00
Element x y z (fractional)
K (0.000, 0.500, 0.246)
K (0.500, 0.000, 0.754)
Sn (0.000, 0.000, 0.500)
Sb (0.000, 0.500, 0.879)
Sb (0.500, 0.000, 0.121)
Sb (0.500, 0.500, 0.500)
Pd (0.000, 0.000, 0.000)
Pd (0.000, 0.500, 0.629)
Pd (0.500, 0.000, 0.371)
Pd (0.500, 0.500, 0.000)

crystal system: tetragonal
density of states at the Fermi level: 0.36 states/eV per atom
SG: No. 115
uncorrected formation energy: -0.4648 eV per atom

[3]
DFT (PBE) results for an optimized crystal structure of MnCrCo2N.

a b c (Å): 3.773 3.773 3.810
angles (deg): 90.00 90.00 90.00
Element x y z (fractional)
Mn (0.000, 0.000, 0.000)
Cr (0.500, 0.500, 0.000)
Co (0.000, 0.500, 0.500)
Co (0.500, 0.000, 0.500)
N (0.500, 0.500, 0.500)

crystal system: tetragonal
density of states at the Fermi level: 0.53 states/eV per atom
SG: No. 123
uncorrected formation energy: -0.1143 eV per atom

[4]
DFT (PBE) results for an optimized crystal structure of Zr2Zn15Cd2.

a b c (Å): 6.771 6.771 6.771
angles (deg): 83.19 83.19 83.19
Element x y z (fractional)
Zr (0.154, 0.154, 0.154)
Zr (0.846, 0.846, 0.846)
Zn (0.000, 0.500, 0.500)
Zn (0.143, 0.143, 0.670)
Zn (0.143, 0.670, 0.143)
Zn (0.190, 0.500, 0.810)
Zn (0.190, 0.810, 0.500)
Zn (0.330, 0.857, 0.857)
Zn (0.500, 0.000, 0.500)
Zn (0.500, 0.190, 0.810)
Zn (0.500, 0.500, 0.000)
Zn (0.500, 0.810, 0.190)
Zn (0.670, 0.143, 0.143)
Zn (0.810, 0.190, 0.500)
Zn (0.810, 0.500, 0.190)
Zn (0.857, 0.330, 0.857)
Zn (0.857, 0.857, 0.330)
Cd (0.393, 0.393, 0.393)
Cd (0.607, 0.607, 0.607)

energy relative to the elements: -1.9 eV/f.u.
crystal system: trigonal
density of states at the Fermi level: 0.33 states/eV per atom
SG: No. 166

[5]
DFT (PBE) results for an optimized crystal structure of KTcAg2.

a b c (Å): 2.872 2.872 9.765
angles (deg): 90.00 90.00 90.00
Element x y z (fractional)
K (0.000, 0.000, 0.000)
Tc (0.000, 0.000, 0.500)
Ag (0.500, 0.500, 0.291)
Ag (0.500, 0.500, 0.709)

energy relative to the elements: 2.6 eV/f.u.
crystal system: tetragonal
density of states at the Fermi level: 0.78 states/eV per atom
E above lowest polymorph: 39 meV per atom
SG: No. 123

[6]
DFT (PBE) results for an optimized crystal structure of PrNdSc3.

a b c (Å): 9.028 9.028 6.792
angles (deg): 99.03 99.03 31.56
Element x y z (fractional)
Pr (0.101, 0.101, 0.044)
Pr (0.899, 0.899, 0.956)
Nd (0.300, 0.300, 0.651)
Nd (0.700, 0.700, 0.349)
Sc (0.094, 0.094, 0.543)
Sc (0.303, 0.303, 0.157)
Sc (0.497, 0.497, 0.259)
Sc (0.503, 0.503, 0.741)
Sc (0.697, 0.697, 0.843)
Sc (0.906, 0.906, 0.457)

energy relative to the elements: 0.3 eV/f.u.
crystal system: monoclinic
density of states at the Fermi level: 1.57 states/eV per atom
SG: No. 12

[7]
DFT (PBE) results for an optimized crystal structure of MnCrIr.

a b c (Å): 5.849 5.849 5.849
angles (deg): 153.76 153.76 37.45
Element x y z (fractional)
Mn (0.000, 0.000, 0.000)
Cr (0.336, 0.336, 0.000)
Ir (0.677, 0.677, 0.000)

energy relative to the elements: -0.1 eV/f.u.
crystal system: tetragonal
density of states at the Fermi level: 1.36 states/eV per atom
E above lowest polymorph: 74 meV per atom
SG: No. 107

[8]
DFT (PBE) results for an optimized crystal structure of Cs2LiH2.

a b c (Å): 10.946 9.138 8.369
angles (deg): 90.00 106.09 90.00
Element x y z (fractional)
Cs (0.157, 0.154, 0.350)
Cs (0.157, 0.346, 0.850)
Cs (0.324, 0.635, 0.495)
Cs (0.324, 0.865, 0.995)
Cs (0.676, 0.135, 0.005)
Cs (0.676, 0.365, 0.505)
Cs (0.843, 0.654, 0.150)
Cs (0.843, 0.846, 0.650)
Li (0.452, 0.038, 0.611)
Li (0.452, 0.462, 0.111)
Li (0.548, 0.538, 0.889)
Li (0.548, 0.962, 0.389)
H (0.383, 0.101, 0.768)
H (0.383, 0.399, 0.268)
H (0.386, 0.556, 0.907)
H (0.386, 0.944, 0.407)
H (0.614, 0.056, 0.593)
H (0.614, 0.444, 0.093)
H (0.617, 0.601, 0.732)
H (0.617, 0.899, 0.232)

crystal system: monoclinic
density of states at the Fermi level: 0.33 states/eV per atom
E above lowest polymorph: 0 meV per atom
SG: No. 14

[9]
DFT (PBE) results for an optimized crystal structure of K2RbGaHg.

a b c (Å): 6.796 6.796 5.357
angles (deg): 90.00 90.00 90.00
Element x y z (fractional)
K (0.000, 0.500, 0.000)
K (0.500, 0.000, 0.000)
Rb (0.000, 0.000, 0.500)
Ga (0.500, 0.500, 0.500)
Hg (0.500, 0.500, 0.000)

energy relative to the elements: 0.0 eV/f.u.
crystal system: tetragonal
density of states at the Fermi level: 0.41 states/eV per atom
E above lowest polymorph: 0 meV per atom
SG: No. 123

[10]
DFT (PBE) results for an optimized crystal structure of LiMgPb.

a b c (Å): 3.370 3.370 7.337
angles (deg): 90.00 90.00 120.00
Element x y z (fractional)
Li (0.000, 0.000, 0.000)
Mg (0.333, 0.667, 0.328)
Pb (0.667, 0.333, 0.680)

energy relative to the elements: -0.2 eV/f.u.
crystal system: trigonal
density of states at the Fermi level: 0.43 states/eV per atom
E above lowest polymorph: 126 meV per atom
SG: No. 156

[11]
DFT (PBE) results for an optimized crystal structure of Re2SbAu.

a b c (Å): 4.571 4.571 3.205
angles (deg): 90.00 90.00 90.00
Element x y z (fractional)
Re (0.000, 0.500, 0.000)
Re (0.500, 0.000, 0.000)
Sb (0.000, 0.000, 0.500)
Au (0.500, 0.500, 0.500)

crystal system: tetragonal
density of states at the Fermi level: 0.87 states/eV per atom
SG: No. 123
uncorrected formation energy: 0.6990 eV per atom

[12]
DFT (PBE) results for an optimized crystal structure of Nb2CuNi.

a b c (Å): 9.976 9.976 9.976
angles (deg): 15.83 15.83 15.83
Element x y z (fractional)
Nb (0.092, 0.092, 0.092)
Nb (0.908, 0.908, 0.908)
Cu (0.000, 0.000, 0.000)
Ni (0.500, 0.500, 0.500)

energy relative to the elements: 1.7 eV/f.u.
crystal system: trigonal
density of states at the Fermi level: 1.25 states/eV per atom
SG: No. 166

[13]
DFT (PBE) results for an optimized crystal structure of Ba4Pa3GaO12.

a b c (Å): 7.801 7.801 7.801
angles (deg): 109.47 109.47 109.47
Element x y z (fractional)
Ba (0.000, 0.000, 0.500)
Ba (0.000, 0.500, 0.000)
Ba (0.500, 0.000, 0.000)
Ba (0.500, 0.500, 0.500)
Pa (0.000, 0.500, 0.500)
Pa (0.500, 0.000, 0.500)
Pa (0.500, 0.500, 0.000)
Ga (0.000, 0.000, 0.000)
O (0.000, 0.273, 0.273)
O (0.000, 0.727, 0.727)
O (0.250, 0.500, 0.750)
O (0.250, 0.750, 0.500)
O (0.273, 0.000, 0.273)
O (0.273, 0.273, 0.000)
O (0.500, 0.250, 0.750)
O (0.500, 0.750, 0.250)
O (0.727, 0.000, 0.727)
O (0.727, 0.727, 0.000)
O (0.750, 0.250, 0.500)
O (0.750, 0.500, 0.250)

crystal system: cubic
SG: No. 229
uncorrected formation energy: -3.0365 eV per atom

[14]
DFT (PBE) results for an optimized crystal structure of KTeN2.

a b c (Å): 3.331 6.183 12.681
angles (deg): 90.00 94.45 90.00
Element x y z (fractional)
K (0.033, 0.250, 0.114)
K (0.967, 0.750, 0.886)
Te (0.458, 0.250, 0.854)
Te (0.542, 0.750, 0.146)
N (0.111, 0.250, 0.356)
N (0.140, 0.250, 0.444)
N (0.860, 0.750, 0.556)
N (0.889, 0.750, 0.644)

crystal system: monoclinic
density of states at the Fermi level: 0.35 states/eV per atom
SG: No. 11
uncorrected formation energy: -0.3333 eV per atom

[15]
DFT (PBE) results for an optimized crystal structure of Sm6Si2PS3.

a b c (Å): 9.192 9.192 8.229
angles (deg): 102.87 102.87 25.84
Element x y z (fractional)
Sm (0.002, 0.002, 0.246)
Sm (0.334, 0.334, 0.417)
Sm (0.335, 0.335, 0.915)
Sm (0.665, 0.665, 0.085)
Sm (0.666, 0.666, 0.583)
Sm (0.998, 0.998, 0.754)
Si (0.166, 0.166, 0.333)
Si (0.834, 0.834, 0.667)
P (0.500, 0.500, 0.000)
S (0.166, 0.166, 0.834)
S (0.500, 0.500, 0.500)
S (0.834, 0.834, 0.166)

crystal system: monoclinic
density of states at the Fermi level: 0.20 states/eV per atom
SG: No. 12
uncorrected formation energy: -1.5408 eV per atom

[16]
DFT (PBE) results for an optimized crystal structure of SnSeBr.

a b c (Å): 5.300 5.300 3.056
angles (deg): 90.00 90.00 120.00
Element x y z (fractional)
Sn (0.000, 0.000, 0.000)
Se (0.667, 0.333, 0.996)
Br (0.333, 0.667, 0.493)

crystal system: trigonal
density of states at the Fermi level: 1.14 states/eV per atom
SG: No. 156
uncorrected formation energy: -0.0280 eV per atom

[17]
DFT (PBE) results for an optimized crystal structure of TaP2OsS.

a b c (Å): 4.442 4.442 4.940
angles (deg): 90.00 90.00 90.00
Element x y z (fractional)
Ta (0.000, 0.000, 0.000)
P (0.000, 0.500, 0.500)
P (0.500, 0.000, 0.500)
Os (0.500, 0.500, 0.500)
S (0.500, 0.500, 0.000)

crystal system: tetragonal
density of states at the Fermi level: 1.03 states/eV per atom
E above lowest polymorph: 0 meV per atom
SG: No. 123
uncorrected formation energy: 1.0506 eV per atom

[18]
DFT (PBE) results for an optimized crystal structure of CuTc2Ni.

a b c (Å): 4.627 4.627 4.662
angles (deg): 97.92 97.92 32.07
Element x y z (fractional)
Cu (0.000, 0.000, 0.000)
Tc (0.250, 0.250, 0.731)
Tc (0.486, 0.486, 0.489)
Ni (0.748, 0.748, 0.224)

energy relative to the elements: 0.5 eV/f.u.
crystal system: monoclinic
density of states at the Fermi level: 0.98 states/eV per atom
E above lowest polymorph: 27 meV per atom
SG: No. 8

[19]
DFT (PBE) results for an optimized crystal structure of LiSc5S6.

a b c (Å): 6.370 6.370 6.390
angles (deg): 99.59 99.59 119.98
Element x y z (fractional)
Li (0.000, 0.000, 0.000)
Sc (0.164, 0.836, 0.500)
Sc (0.335, 0.665, 0.000)
Sc (0.500, 0.500, 0.500)
Sc (0.665, 0.335, 0.000)
Sc (0.836, 0.164, 0.500)
S (0.083, 0.413, 0.249)
S (0.247, 0.247, 0.755)
S (0.413, 0.083, 0.249)
S (0.587, 0.917, 0.751)
S (0.753, 0.753, 0.245)
S (0.917, 0.587, 0.751)

crystal system: monoclinic
density of states at the Fermi level: 0.45 states/eV per atom
SG: No. 12
uncorrected formation energy: -1.8636 eV per atom

[20]
DFT (PBE) results for an optimized crystal structure of AcCeSb.

a b c (Å): 4.665 4.599 9.323
angles (deg): 90.00 90.94 90.00
Element x y z (fractional)
Ac (0.247, 0.250, 0.358)
Ac (0.753, 0.750, 0.642)
Ce (0.212, 0.750, 0.003)
Ce (0.788, 0.250, 0.997)
Sb (0.261, 0.250, 0.741)
Sb (0.739, 0.750, 0.259)

crystal system: monoclinic
density of states at the Fermi level: 2.01 states/eV per atom
E above lowest polymorph: 0 meV per atom
SG: No. 11
uncorrected formation energy: -0.7594 eV per atom

no.,total magnetization (μB/cell)
1,0.00
2,0.00
3,3.81
4,0.00
5,0.01
6,0.00
7,2.05
8,0.00
9,0.00
10,0.00
11,0.00
12,0.00
13,0.00
14,0.00
15,0.00
16,0.00
17,2.26
18,0.00
19,0.00
20,2.41